ZrMoHRh2: optimized geometry, PBE.

Cell lengths 4.0074, 4.0074, 4.1540 Å; angles 90.00, 90.00, 90.00 degrees
With the nearest neighbours (Å) after each atom.
Fractional positions:
Zr1 0.0000 0.0000 0.0000  2 H 2.08
Mo1 0.5000 0.5000 0.0000  4 Zr 2.83, 8 Rh 2.89
H1 0.0000 0.0000 0.5000  4 Rh 2.00, 2 Zr 2.08
Rh1 0.0000 0.5000 0.5000  2 H 2.00
Rh2 0.5000 0.0000 0.5000  2 H 2.00

Properties
Energy relative to the lowest polymorph listed for this composition (meV per atom): 30
Size of the total moment (μB/cell): 0.00
Density (kg/m3): 9807
Fermi-level density of states (states/eV/f.u.): 3.970


K2Li2Ti: optimized geometry, PBE.

Cell lengths 9.9443, 9.9443, 3.4091 Å; angles 90.00, 90.00, 90.00 degrees
With the nearest neighbours (Å) after each atom.
Fractional positions:
K1 0.1396 0.3604 0.0000  6 Li 3.18-3.53, 2 K 3.41
K2 0.3604 0.8604 0.0000  6 Li 3.18-3.53, 2 K 3.41
K3 0.6396 0.1396 0.0000  6 Li 3.18-3.53, 2 K 3.41
K4 0.8604 0.6396 0.0000  6 Li 3.18-3.53, 2 K 3.41
Li1 0.1697 0.6697 0.5000  6 K 3.18-3.53, 2 Li 3.41
Li2 0.3303 0.1697 0.5000  6 K 3.18-3.53, 2 Li 3.41
Li3 0.6697 0.8303 0.5000  6 K 3.18-3.53, 2 Li 3.41
Li4 0.8303 0.3303 0.5000  6 K 3.18-3.53, 2 Li 3.41
Ti1 0.0000 0.0000 0.0000  2 Ti 3.41
Ti2 0.5000 0.5000 0.0000  2 Ti 3.41

Properties
Energy of formation (eV per atom): 0.770
Energy relative to the lowest polymorph listed for this composition (meV per atom): 102
Size of the total moment (μB/cell): 5.96
Density (kg/m3): 1379
Fermi-level density of states (states/eV/f.u.): 4.274


MnCr3Si: optimized geometry, PBE.

Cell lengths 4.2145, 4.2145, 4.2145 Å; angles 90.00, 90.00, 90.00 degrees
With the nearest neighbours (Å) after each atom.
Fractional positions:
Mn1 0.0000 0.0000 0.0000  6 Cr 2.11
Cr1 0.0000 0.0000 0.5000  2 Mn 2.11
Cr2 0.0000 0.5000 0.0000  2 Mn 2.11
Cr3 0.5000 0.0000 0.0000  2 Mn 2.11
Si1 0.5000 0.5000 0.5000  12 Cr 2.98

Properties
Energy relative to the lowest polymorph listed for this composition (meV per atom): 0
Size of the total moment (μB/cell): 3.71
Formation energy (no corrections) (eV/atom): 1.06
Density (kg/m3): 5302
Fermi-level density of states (states/eV/f.u.): 3.478


GaCu2Ge2: optimized geometry, PBE.

Cell lengths 6.4155, 6.4155, 6.4155 Å; angles 145.43, 145.43, 49.70 degrees
With the nearest neighbours (Å) after each atom.
Fractional positions:
Ga1 0.0000 0.0000 0.0000  8 Cu 2.95
Cu1 0.3965 0.3965 0.0000  1 Cu 2.41, 4 Ge 2.56
Cu2 0.6035 0.6035 0.0000  1 Cu 2.41, 4 Ge 2.56
Ge1 0.2500 0.7500 0.5000  4 Cu 2.56, 4 Ge 2.70
Ge2 0.7500 0.2500 0.5000  4 Cu 2.56, 4 Ge 2.70

Properties
Energy of formation (eV per atom): 0.200
Energy relative to the lowest polymorph listed for this composition (meV per atom): 27
Size of the total moment (μB/cell): 0.00
Density (kg/m3): 6712
Fermi-level density of states (states/eV/f.u.): 1.993


B2RhAuCl: optimized geometry, PBE.

Cell lengths 4.0098, 4.0098, 5.3552 Å; angles 90.00, 90.00, 90.00 degrees
With the nearest neighbours (Å) after each atom.
Fractional positions:
B1 0.0000 0.5000 0.0000  2 Rh 2.00
B2 0.5000 0.0000 0.0000  2 Rh 2.00
Rh1 0.0000 0.0000 0.0000  4 B 2.00
Au1 0.5000 0.5000 0.5000  4 Cl 2.84
Cl1 0.0000 0.0000 0.5000  2 Rh 2.68, 4 Au 2.84

Properties
Size of the total moment (μB/cell): 0.00
Formation energy (no corrections) (eV/atom): 0.93
Density (kg/m3): 6884
Fermi-level density of states (states/eV/f.u.): 2.310


FeMoRu3: optimized geometry, PBE.

Cell lengths 4.3547, 4.3547, 4.3547 Å; angles 90.00, 90.00, 90.00 degrees
With the nearest neighbours (Å) after each atom.
Fractional positions:
Fe1 0.0000 0.0000 0.0000  6 Ru 2.18
Mo1 0.5000 0.5000 0.5000  12 Ru 3.08
Ru1 0.0000 0.0000 0.5000  2 Fe 2.18
Ru2 0.0000 0.5000 0.0000  2 Fe 2.18
Ru3 0.5000 0.0000 0.0000  2 Fe 2.18

Properties
Energy of formation (eV per atom): 1.444
Energy relative to the lowest polymorph listed for this composition (meV per atom): 0
Size of the total moment (μB/cell): 2.61
Density (kg/m3): 9149
Fermi-level density of states (states/eV/f.u.): 8.604


Q: Look up the size of the total moment of the first one.
A: 0.00 μB/cell